## CeSm3Y2 (PBE)

Data for a relaxed CeSm3Y2 crystal.

```
data_CeSm3Y2
_chemical_formula_sum 'Ce2 Sm6 Y4'
_cell_length_a 5.1058
_cell_length_b 15.2166
_cell_length_c 5.0770
_cell_angle_alpha 90.00
_cell_angle_beta 90.00
_cell_angle_gamma 90.00
_symmetry_space_group_name_H-M 'P 1'
_symmetry_Int_Tables_number 1
_symmetry_space_group_name_Hall 'P 1'
loop_
_atom_site_label
_atom_site_type_symbol
_atom_site_fract_x
_atom_site_fract_y
_atom_site_fract_z
Ce1 Ce 0.0000 0.0000 0.0000
Ce2 Ce 0.5000 0.5000 0.0000
Sm1 Sm 0.0000 0.1636 0.5000
Sm2 Sm 0.0000 0.5000 0.5000
Sm3 Sm 0.0000 0.8364 0.5000
Sm4 Sm 0.5000 0.0000 0.5000
Sm5 Sm 0.5000 0.3364 0.5000
Sm6 Sm 0.5000 0.6636 0.5000
Y1 Y 0.0000 0.3340 0.0000
Y2 Y 0.0000 0.6660 0.0000
Y3 Y 0.5000 0.1660 0.0000
Y4 Y 0.5000 0.8340 0.0000
```

Calculated values
The uncorrected energy is -32.676 eV per formula unit. The density of states at the Fermi level comes out at 23.3 states/eV/cell. The energy of formation from the pure elements comes out at 0.0572 eV per atom.